# 1
A plane-wave DFT calculation with PBE-GGA was carried out for BaAcSb2Pd2 after structural relaxation.

a b c (Å): 4.6627 4.6627 9.3293
angles (deg): 90.00 90.00 120.00
With the nearest neighbours (Å) after each atom.
Positions (direct):
Ba: 0.0000 0.0000 0.0000  6 Sb 3.62, 6 Pd 3.70
Ac: 0.0000 0.0000 0.5000  6 Pd 3.43, 6 Sb 3.50
Sb: 0.3333 0.6667 0.2595  3 Pd 2.69
Sb: 0.6667 0.3333 0.7405  3 Pd 2.69
Pd: 0.3333 0.6667 0.7279  3 Sb 2.69
Pd: 0.6667 0.3333 0.2721  3 Sb 2.69

Properties
The value obtained for the raw formation energy is -1.0283 eV per atom. The crystal system is trigonal. The space group is P-3m1.

# 2
A plane-wave DFT calculation with PBE-GGA was carried out for Ba2AcSb3Pd4 after structural relaxation.

a b c (Å): 4.8377 4.8377 11.5529
angles (deg): 90.00 90.00 90.00
With the nearest neighbours (Å) after each atom.
Positions (direct):
Ba: 0.5000 0.0000 0.2192  8 Pd 3.50-3.73, 5 Sb 3.62-3.87
Ba: 0.0000 0.5000 0.7808  8 Pd 3.50-3.73, 5 Sb 3.62-3.87
Ac: 0.5000 0.5000 0.5000  4 Pd 2.98
Sb: 0.0000 0.0000 0.5000  4 Pd 2.98
Sb: 0.5000 0.0000 0.8844  5 Pd 2.70-2.76
Sb: 0.0000 0.5000 0.1156  5 Pd 2.70-2.76
Pd: 0.5000 0.5000 0.0000  4 Sb 2.76
Pd: 0.0000 0.0000 0.0000  4 Sb 2.76
Pd: 0.5000 0.0000 0.6512  3 Sb 2.70-2.98, 2 Ac 2.98
Pd: 0.0000 0.5000 0.3488  3 Sb 2.70-2.98, 2 Ac 2.98

Properties
The value obtained for the raw formation energy is -0.8251 eV per atom. The crystal system is tetragonal. The space group is P-4m2.

# 3
A plane-wave DFT calculation with PBE-GGA was carried out for BaAcPdSe4 after structural relaxation.

a b c (Å): 7.0234 7.2053 8.6299
angles (deg): 90.00 114.01 90.00
With the nearest neighbours (Å) after each atom.
Positions (direct):
Ba: 0.6078 0.7500 0.2157  7 Se 3.18-3.55
Ba: 0.3922 0.2500 0.7843  7 Se 3.18-3.55
Ac: 0.1204 0.2500 0.2408  5 Se 3.09-3.24
Ac: 0.8796 0.7500 0.7592  5 Se 3.09-3.24
Pd: 0.2455 0.7500 0.4910  6 Se 2.52-2.68
Pd: 0.7545 0.2500 0.5090  6 Se 2.52-2.68
Se: 0.9243 0.2500 0.8486  1 Pd 2.68
Se: 0.4063 0.7500 0.8127  1 Pd 2.54
Se: 0.0757 0.7500 0.1514  1 Pd 2.68
Se: 0.5937 0.2500 0.1873  1 Pd 2.54
Se: 0.5000 0.5000 0.5000  2 Pd 2.52
Se: 0.0000 0.0000 0.5000  2 Pd 2.52
Se: 0.5000 0.0000 0.5000  2 Pd 2.52
Se: 0.0000 0.5000 0.5000  2 Pd 2.52

Properties
The value obtained for the raw formation energy is -1.3268 eV per atom. The crystal system is orthorhombic. The space group is Cmcm.

# 4
A plane-wave DFT calculation with PBE-GGA was carried out for BaAcSn2Pd5 after structural relaxation.

a b c (Å): 4.9035 4.9035 8.7556
angles (deg): 90.00 90.00 90.00
With the nearest neighbours (Å) after each atom.
Positions (direct):
Ba: 0.0000 0.0000 0.5000  12 Pd 3.15-3.47
Ac: 0.0000 0.0000 0.0000  8 Pd 3.44, 8 Sn 3.77
Sn: 0.5000 0.5000 0.1681  5 Pd 2.62-2.91
Sn: 0.5000 0.5000 0.8319  5 Pd 2.62-2.91
Pd: 0.0000 0.5000 0.2749  2 Sn 2.62
Pd: 0.5000 0.0000 0.2749  2 Sn 2.62
Pd: 0.0000 0.5000 0.7251  2 Sn 2.62
Pd: 0.5000 0.0000 0.7251  2 Sn 2.62
Pd: 0.5000 0.5000 0.5000  2 Sn 2.91, 8 Pd 3.15

Properties
The crystal system is tetragonal. The space group is P4/mmm. The formation energy comes out at -0.60 eV/atom.

# 5
A plane-wave DFT calculation with PBE-GGA was carried out for BaAc2Sn3Pd6 after structural relaxation.

a b c (Å): 4.3983 4.3983 15.7041
angles (deg): 90.00 90.00 90.00
With the nearest neighbours (Å) after each atom.
Positions (direct):
Ba: 0.5000 0.5000 0.5000  8 Sn 3.63, 8 Pd 4.02
Ac: 0.5000 0.5000 0.1400  8 Pd 3.14-3.17
Ac: 0.5000 0.5000 0.8600  8 Pd 3.14-3.17
Sn: 0.0000 0.0000 0.3808  4 Pd 2.66
Sn: 0.0000 0.0000 0.6192  4 Pd 2.66
Sn: 0.0000 0.0000 0.0000  2 Pd 2.65
Pd: 0.0000 0.5000 0.7143  2 Sn 2.66, 2 Pd 2.87
Pd: 0.5000 0.0000 0.2857  2 Sn 2.66, 2 Pd 2.87
Pd: 0.5000 0.0000 0.7143  2 Sn 2.66, 2 Pd 2.87
Pd: 0.0000 0.0000 0.1685  1 Sn 2.65, 4 Pd 2.87
Pd: 0.0000 0.5000 0.2857  2 Sn 2.66, 2 Pd 2.87
Pd: 0.0000 0.0000 0.8315  1 Sn 2.65, 4 Pd 2.87

Properties
The crystal system is tetragonal. The space group is P4/mmm. The formation energy comes out at -0.71 eV/atom.

# 6
A plane-wave DFT calculation with PBE-GGA was carried out for Ba2AcSn3Pd4 after structural relaxation.

a b c (Å): 4.8839 4.8839 11.3588
angles (deg): 90.00 90.00 90.00
With the nearest neighbours (Å) after each atom.
Positions (direct):
Ba: 0.5000 0.0000 0.2246  8 Pd 3.53-3.74, 5 Sn 3.69-3.81
Ba: 0.0000 0.5000 0.7754  8 Pd 3.53-3.74, 5 Sn 3.69-3.81
Ac: 0.5000 0.5000 0.5000  4 Pd 2.98
Sn: 0.0000 0.0000 0.5000  4 Pd 2.98
Sn: 0.5000 0.0000 0.8891  5 Pd 2.72-2.75
Sn: 0.0000 0.5000 0.1109  5 Pd 2.72-2.75
Pd: 0.5000 0.5000 0.0000  4 Sn 2.75
Pd: 0.0000 0.0000 0.0000  4 Sn 2.75
Pd: 0.5000 0.0000 0.6497  3 Sn 2.72-2.98, 2 Ac 2.98
Pd: 0.0000 0.5000 0.3503  3 Sn 2.72-2.98, 2 Ac 2.98

Properties
The crystal system is tetragonal. The space group is P-4m2. The formation energy comes out at -0.73 eV/atom.

# 7
A plane-wave DFT calculation with PBE-GGA was carried out for BaAcSnPd after structural relaxation.

a b c (Å): 5.6947 5.6947 5.6947
angles (deg): 60.00 60.00 60.00
With the nearest neighbours (Å) after each atom.
Positions (direct):
Ac: 0.2500 0.2500 0.2500  4 Sn 3.49, 4 Pd 3.49
Ba: 0.7500 0.7500 0.7500  4 Pd 3.49, 4 Sn 3.49
Pd: 0.0000 0.0000 0.0000  4 Ac 3.49, 4 Ba 3.49
Sn: 0.5000 0.5000 0.5000  4 Ba 3.49, 4 Ac 3.49

Properties
The crystal system is cubic. The space group is F-43m. The formation energy comes out at -0.52 eV/atom.

# 8
A plane-wave DFT calculation with PBE-GGA was carried out for BaAcTlPd after structural relaxation.

a b c (Å): 5.6987 5.6987 5.6987
angles (deg): 60.00 60.00 60.00
With the nearest neighbours (Å) after each atom.
Positions (direct):
Ac: 0.7500 0.7500 0.7500  4 Pd 3.49, 4 Tl 3.49
Tl: 0.0000 0.0000 0.0000  4 Ba 3.49, 4 Ac 3.49
Pd: 0.5000 0.5000 0.5000  4 Ac 3.49, 4 Ba 3.49
Ba: 0.2500 0.2500 0.2500  4 Pd 3.49, 4 Tl 3.49

Properties
The crystal system is cubic. The space group is F-43m. The formation energy comes out at -0.37 eV/atom.

# 9
A plane-wave DFT calculation with PBE-GGA was carried out for BaAcPm after structural relaxation.

a b c (Å): 3.9704 3.9704 9.8280
angles (deg): 90.00 90.00 120.00
With the nearest neighbours (Å) after each atom.
Positions (direct):
Ac: 0.3333 0.6667 0.6454  3 Pm 3.73, 6 Ac 3.97
Ba: 0.0000 0.0000 0.0083  6 Ba 3.97, 3 Pm 4.04, 3 Ac 4.24
Pm: 0.6667 0.3333 0.3463  3 Ac 3.73, 6 Pm 3.97, 3 Ba 4.04

Properties
The crystal system is trigonal. The space group is P3m1. The formation energy comes out at 0.12 eV/atom. Its polymorph energy (0 for the lowest one) is 13.0 meV/atom.

# 10
A plane-wave DFT calculation with PBE-GGA was carried out for BaAcPm after structural relaxation.

a b c (Å): 3.9662 3.9662 9.0715
angles (deg): 102.63 102.63 90.00
With the nearest neighbours (Å) after each atom.
Positions (direct):
Ac: 0.6815 0.6815 0.3631  4 Pm 3.72, 4 Ac 3.97
Ba: 0.9957 0.9957 0.9914  4 Ba 3.97, 4 Pm 4.09, 4 Ac 4.26
Pm: 0.3228 0.3228 0.6455  4 Ac 3.72, 4 Pm 3.97, 4 Ba 4.09

Properties
The crystal system is tetragonal. The space group is I4mm. The formation energy comes out at 0.11 eV/atom. Its polymorph energy (0 for the lowest one) is 0.0 meV/atom.

# 11
A plane-wave DFT calculation with PBE-GGA was carried out for BaAc6Pm2 after structural relaxation.

a b c (Å): 6.6566 6.6566 12.6932
angles (deg): 90.00 90.00 120.00
With the nearest neighbours (Å) after each atom.
Positions (direct):
Ba: 0.0000 0.0000 0.0000  6 Ac 4.12
Ac: 0.3308 0.3308 0.7255  2 Pm 3.63, 6 Ac 3.81-3.86
Ac: 0.6692 0.0000 0.7255  2 Pm 3.63, 6 Ac 3.81-3.86
Ac: 0.0000 0.6692 0.7255  2 Pm 3.63, 6 Ac 3.81-3.86
Ac: 0.3308 0.0000 0.2745  2 Pm 3.63, 6 Ac 3.81-3.86
Ac: 0.0000 0.3308 0.2745  2 Pm 3.63, 6 Ac 3.81-3.86
Ac: 0.6692 0.6692 0.2745  2 Pm 3.63, 6 Ac 3.81-3.86
Pm: 0.6667 0.3333 0.5000  6 Ac 3.63, 3 Pm 3.84
Pm: 0.3333 0.6667 0.5000  6 Ac 3.63, 3 Pm 3.84

Properties
The crystal system is trigonal. The space group is P-31m. The formation energy comes out at 0.46 eV/atom.

# 12
A plane-wave DFT calculation with PBE-GGA was carried out for BaAc4Pm after structural relaxation.

a b c (Å): 3.9949 3.9949 16.9763
angles (deg): 90.00 90.00 90.00
With the nearest neighbours (Å) after each atom.
Positions (direct):
Ba: 0.0000 0.0000 0.0000  4 Ba 3.99, 8 Ac 4.28
Ac: 0.5000 0.5000 0.8108  8 Ac 3.93-3.99, 4 Ba 4.28
Ac: 0.5000 0.5000 0.1892  8 Ac 3.93-3.99, 4 Ba 4.28
Ac: 0.0000 0.0000 0.6499  4 Pm 3.80, 8 Ac 3.93-3.99
Ac: 0.0000 0.0000 0.3501  4 Pm 3.80, 8 Ac 3.93-3.99
Pm: 0.5000 0.5000 0.5000  8 Ac 3.80, 4 Pm 3.99

Properties
The crystal system is tetragonal. The space group is P4/mmm. The formation energy comes out at 0.05 eV/atom. Its polymorph energy (0 for the lowest one) is 0.0 meV/atom.

Number 1: Fermi-level density of states 2.781 states/eV per cell. Number 2: Fermi-level density of states 6.580 states/eV per cell. Number 3: Fermi-level density of states 2.438 states/eV per cell. Number 4: Fermi-level density of states 3.718 states/eV per cell. Number 5: Fermi-level density of states 7.654 states/eV per cell. Number 6: Fermi-level density of states 4.566 states/eV per cell. Number 7: Fermi-level density of states 3.492 states/eV per cell. Number 8: Fermi-level density of states 3.395 states/eV per cell. Number 9: Fermi-level density of states 4.694 states/eV per cell. Number 10: Fermi-level density of states 4.544 states/eV per cell. Number 11: Fermi-level density of states 14.182 states/eV per cell. Number 12: Fermi-level density of states 10.403 states/eV per cell.